# 1
Compound: CaHo2ThSe4
Source: Alexandria
Functional: PBE
Structure: relaxed

The calculation puts the uncorrected formation energy at -1715 meV/atom.

It has space group P2/m (No. 10), with a = 7.084 Å, b = 4.074 Å, c = 7.270 Å, α = 90.00°, β = 108.82° and γ = 90.00°. The asymmetric unit holds Ca at (0.000, 0.000, 0.000), Ho at (0.500, 0.000, 0.500), Ho at (0.500, 0.500, 0.000), Th at (0.000, 0.500, 0.500), Se at (0.258, 0.500, 0.248) and Se at (0.261, 0.000, 0.760).

***

# 2
Compound: Cs2TlSbSe4
Source: Alexandria
Functional: PBE
Structure: relaxed

The calculation puts the uncorrected formation energy at -608 meV/atom.

It has space group Fddd (No. 70, origin choice 2), with a = 6.890 Å, b = 15.550 Å, c = 24.835 Å, α = 90.00°, β = 90.00° and γ = 90.00°. The asymmetric unit holds Cs at (0.125, 0.125, 0.307), Tl at (0.125, 0.125, 0.125), Sb at (0.125, 0.125, 0.625) and Se at (0.115, 0.273, 0.433).

***

# 3
Compound: Gd2DyNi
Source: Alexandria
Functional: PBE
Structure: relaxed

The calculated formation energy is -0.06 eV per atom. As for the energy above the most stable polymorph in this dataset: 66 meV/atom.

It has space group R-3m (No. 166, hexagonal axes), with a = 3.6878 Å, b = 3.6878 Å, c = 28.3246 Å, α = 90.00°, β = 90.00° and γ = 120.00°. The asymmetric unit holds Gd at (0.0000, 0.0000, 0.2281), Dy at (0.0000, 0.0000, 0.0000) and Ni at (0.0000, 0.0000, 0.5000).

***

# 4
Compound: Nd2BiBr
Source: Alexandria
Functional: PBE
Structure: relaxed

As for the energy above the most stable polymorph in this dataset: 74 meV/atom. The calculation puts the uncorrected formation energy at -910 meV/atom.

It has space group P4/mmm (No. 123), with a = 5.522 Å, b = 5.522 Å, c = 3.818 Å, α = 90.00°, β = 90.00° and γ = 90.00°. The asymmetric unit holds Nd at (0.000, 0.500, 0.000), Bi at (0.000, 0.000, 0.500) and Br at (0.500, 0.500, 0.500).

***

# 5
Compound: HgTe4Ru
Source: Alexandria
Functional: PBE
Structure: relaxed

The calculation puts the uncorrected formation energy at 950 meV/atom.

It has space group F-43m (No. 216), with a = 8.946 Å, b = 8.946 Å, c = 8.946 Å, α = 90.00°, β = 90.00° and γ = 90.00°. The asymmetric unit holds Hg at (0.000, 0.000, 0.000), Te at (0.125, 0.125, 0.375) and Ru at (0.250, 0.250, 0.750).

***

# 6
Compound: Ga2Pb2Au
Source: Alexandria
Functional: PBE
Structure: relaxed

The calculated formation energy is 0.14 eV per atom. As for the energy above the most stable polymorph in this dataset: 187 meV/atom.

It has space group P4/mbm (No. 127), with a = 7.817 Å, b = 7.817 Å, c = 4.317 Å, α = 90.00°, β = 90.00° and γ = 90.00°. The asymmetric unit holds Ga at (0.129, 0.371, 0.000), Pb at (0.169, 0.669, 0.500) and Au at (0.000, 0.000, 0.500).

***

# 7
Compound: BaScMo2
Source: Alexandria
Functional: PBE
Structure: relaxed

The calculated formation energy is 0.61 eV per atom. As for the energy above the most stable polymorph in this dataset: 221 meV/atom.

It has space group P2/m (No. 10), with a = 3.444 Å, b = 4.185 Å, c = 7.156 Å, α = 90.00°, β = 90.34° and γ = 90.00°. The asymmetric unit holds Ba at (0.000, 0.000, 0.000), Sc at (0.000, 0.000, 0.500) and Mo at (0.498, 0.500, 0.345).

***

# 8
Compound: Ba3LiP
Source: Alexandria
Functional: PBE
Structure: relaxed

The calculated formation energy is -0.41 eV per atom. As for the energy above the most stable polymorph in this dataset: 0 meV/atom.

It has space group Pm-3m (No. 221), with a = 6.339 Å, b = 6.339 Å, c = 6.339 Å, α = 90.00°, β = 90.00° and γ = 90.00°. The asymmetric unit holds Ba at (0.000, 0.000, 0.500), Li at (0.500, 0.500, 0.500) and P at (0.000, 0.000, 0.000).

***

Which formula does entry 3 have? Gd2DyNi